ScSiP2 at its PBEsol-relaxed geometry, computed with SCAN.

POSCAR file:
```
ScSiP2
1.0
3.5558 0.0000 0.0000
0.0000 3.5557 0.0275
0.0000 -0.0446 5.4417
Sc P Si
1 2 1
Direct
0.0000 0.9997 0.4092
0.5000 0.4997 0.3822
0.0000 0.0001 0.9017
0.5000 0.5005 0.8069
```

Values from the calculation:
E = -11.908 eV per atom
size of the total moment = 0.0 μB per cell
uncorrected formation energy = -0.65 eV per atom

FeTeIr2 at its PBEsol-relaxed geometry, computed with SCAN.

POSCAR file:
```
FeTeIr2
1.0
-0.1998 -2.9895 0.0176
3.1025 -0.1871 3.4332
-4.1014 0.2866 2.1317
Ir Fe Te
2 1 1
Direct
0.0000 0.0000 0.5000
0.0000 0.5000 0.0000
0.5000 0.5000 0.5000
0.5000 0.0000 0.0000
```

Values from the calculation:
E = -49.044 eV per atom
size of the total moment = 4.1 μB per cell
uncorrected formation energy = 0.35 eV per atom

SrLiSn2 at its PBEsol-relaxed geometry, computed with SCAN.

POSCAR file:
```
SrLiSn2
1.0
5.3195 0.0000 0.0000
2.6597 4.6068 0.0000
2.6597 1.5356 4.3433
Sn Li Sr
2 1 1
Direct
0.2500 0.2500 0.2500
0.7500 0.7500 0.7500
0.0000 0.0000 0.0000
0.5000 0.5000 0.5000
```

Values from the calculation:
E = -24.558 eV per atom
size of the total moment = 0.0 μB per cell
ΔH_f (0 K) = -0.432 eV/atom

LaZnI2O at its PBEsol-relaxed geometry, computed with SCAN.

POSCAR file:
```
LaZnI2O
1.0
-0.8413 3.8577 -1.5714
2.0690 -1.8891 -5.7451
-5.9139 -1.9024 -1.5042
Zn I O La
1 2 1 1
Direct
0.5000 0.5000 0.5000
0.0000 0.0000 0.5000
0.0000 0.5000 0.0000
0.5000 0.0000 0.0000
0.0000 0.0000 0.0000
```

Values from the calculation:
E = -28.515 eV per atom
size of the total moment = 1.0 μB per cell
uncorrected formation energy = -1.25 eV per atom

SrSn3Ir at its PBEsol-relaxed geometry, computed with SCAN.

POSCAR file:
```
SrSn3Ir
1.0
5.5541 0.0000 0.0000
0.0000 5.5541 0.0000
0.0000 0.0000 5.5541
Sr Sn Ir
1 3 1
Direct
0.0000 0.0000 0.0000
0.0000 0.5000 0.0000
0.5000 0.0000 0.0000
0.0000 0.0000 0.5000
0.5000 0.5000 0.5000
```

Values from the calculation:
E = -38.178 eV per atom
size of the total moment = 1.6 μB per cell
ΔH_f (0 K) = 2.050 eV/atom

RbNb3Co at its PBEsol-relaxed geometry, computed with SCAN.

POSCAR file:
```
RbNb3Co
1.0
4.7535 0.0000 0.0000
0.0000 4.7535 0.0000
0.0000 0.0000 4.7535
Nb Rb Co
3 1 1
Direct
0.5000 0.0000 0.0000
0.0000 0.5000 0.0000
0.0000 0.0000 0.5000
0.5000 0.5000 0.5000
0.0000 0.0000 0.0000
```

Values from the calculation:
E = -26.157 eV per atom
size of the total moment = 1.3 μB per cell
ΔH_f (0 K) = 1.329 eV/atom

YNiHg at its PBEsol-relaxed geometry, computed with SCAN.

POSCAR file:
```
YNiHg
1.0
3.5303 0.0000 0.0000
0.0000 3.5303 0.0000
-1.7651 -1.7651 4.5787
Ni Hg Y
1 1 1
Direct
0.6668 0.6668 0.3337
0.0099 0.0099 0.0198
0.3232 0.3232 0.6465
```

Values from the calculation:
E = -37.766 eV per atom
size of the total moment = 0.0 μB per cell
ΔH_f (0 K) = -0.372 eV/atom

LiSc2Zn at its PBEsol-relaxed geometry, computed with SCAN.

POSCAR file:
```
LiSc2Zn
1.0
-1.4404 -0.1819 -2.6263
0.4032 -2.3894 -1.7701
-8.6589 -5.8964 3.4432
Zn Li Sc
1 1 2
Direct
0.0000 0.0000 0.0000
0.5000 0.5000 0.5000
0.9132 0.9132 0.2604
0.0868 0.0868 0.7396
```

Values from the calculation:
E = -10.681 eV per atom
size of the total moment = 0.2 μB per cell
ΔH_f (0 K) = 0.414 eV/atom

- Among the records above, which one has the lowest E?
  FeTeIr2

- What is the size of the total moment in the sixth record?
  1.3 μB per cell